# Y2ScCd, optimized geometry, DFT PBE
# DFT formation energy   -0.14 eV/atom
data_Y2ScCd
_chemical_formula_sum 'Y2 Sc1 Cd1'
_cell_length_a 3.5590
_cell_length_b 3.5778
_cell_length_c 8.6730
_cell_angle_alpha 90.00
_cell_angle_beta 90.00
_cell_angle_gamma 90.00
_space_group_name_H-M_alt 'P m m m'
_space_group_IT_number 47
_space_group_name_Hall '-P 2 2'
loop_
_atom_site_label
_atom_site_type_symbol
_atom_site_fract_x
_atom_site_fract_y
_atom_site_fract_z
Y1 Y 0.0000 0.0000 0.2406
Sc1 Sc 0.5000 0.5000 0.5000
Cd1 Cd 0.5000 0.5000 0.0000